[1]
VASP calculation (PBE-GGA) on BaCeP2Pd2 after structural relaxation.

M_tot = 0.31 μB per formula unit
theoretical density = 6.91 g/cm³
raw total energy = -35.759 eV per formula unit
calculated volume = 22.117 A^3/atom

a b c (Å): 4.2701 4.2701 8.4036
angles (deg): 90.00 90.00 120.00
With the nearest neighbours (Å) after each atom.
Element x y z (fractional)
Ba 0.0000 0.0000 0.0000  6 Pd 3.37, 6 P 3.46
Ce 0.0000 0.0000 0.5000  6 P 3.03, 6 Pd 3.11
P 0.3333 0.6667 0.2895  3 Pd 2.47
P 0.6667 0.3333 0.7105  3 Pd 2.47
Pd 0.3333 0.6667 0.7260  3 P 2.47
Pd 0.6667 0.3333 0.2740  3 P 2.47

---

[2]
VASP calculation (PBE-GGA) on YZrCu4 after structural relaxation.

M_tot = 0.00 μB per formula unit
theoretical density = 7.11 g/cm³
raw total energy = -32.357 eV per formula unit
calculated volume = 16.902 A^3/atom

a b c (Å): 3.1939 4.2765 7.4249
angles (deg): 90.00 90.00 90.00
With the nearest neighbours (Å) after each atom.
Element x y z (fractional)
Y 0.0000 0.0000 0.0000  12 Cu 2.96-2.98, 2 Y 3.19
Zr 0.0000 0.5000 0.5000  12 Cu 2.91-2.93, 2 Zr 3.19
Cu 0.5000 0.0000 0.3383  3 Cu 2.40-2.47
Cu 0.5000 0.0000 0.6617  3 Cu 2.40-2.47
Cu 0.5000 0.5000 0.1725  3 Cu 2.47-2.56
Cu 0.5000 0.5000 0.8275  3 Cu 2.47-2.56

---

[3]
VASP calculation (PBE-GGA) on Ga2AgBi after structural relaxation.

M_tot = 0.00 μB per formula unit
theoretical density = 8.42 g/cm³
raw total energy = -12.322 eV per formula unit
calculated volume = 22.493 A^3/atom

a b c (Å): 4.4498 4.4498 4.5439
angles (deg): 90.00 90.00 90.00
With the nearest neighbours (Å) after each atom.
Element x y z (fractional)
Ga 0.0000 0.5000 0.0000  4 Ga 3.15, 4 Bi 3.18, 4 Ag 3.18
Ga 0.5000 0.0000 0.0000  4 Ga 3.15, 4 Bi 3.18, 4 Ag 3.18
Ag 0.0000 0.0000 0.5000  4 Bi 3.15, 8 Ga 3.18
Bi 0.5000 0.5000 0.5000  4 Ag 3.15, 8 Ga 3.18

---

[4]
VASP calculation (PBE-GGA) on Ti2Tl2Pb after structural relaxation.

M_tot = 2.26 μB per formula unit
theoretical density = 9.87 g/cm³
raw total energy = -22.922 eV per formula unit
calculated volume = 23.939 A^3/atom

a b c (Å): 8.7795 8.7795 3.1057
angles (deg): 90.00 90.00 90.00
With the nearest neighbours (Å) after each atom.
Element x y z (fractional)
Ti 0.1128 0.3872 0.0000  3 Ti 2.80-3.11, 6 Tl 3.02-3.05
Ti 0.3872 0.8872 0.0000  3 Ti 2.80-3.11, 6 Tl 3.02-3.05
Ti 0.6128 0.1128 0.0000  3 Ti 2.80-3.11, 6 Tl 3.02-3.05
Ti 0.8872 0.6128 0.0000  3 Ti 2.80-3.11, 6 Tl 3.02-3.05
Tl 0.1787 0.6787 0.5000  6 Ti 3.02-3.05, 2 Tl 3.11, 2 Pb 3.23
Tl 0.3213 0.1787 0.5000  6 Ti 3.02-3.05, 2 Tl 3.11, 2 Pb 3.23
Tl 0.6787 0.8213 0.5000  6 Ti 3.02-3.05, 2 Tl 3.11, 2 Pb 3.23
Tl 0.8213 0.3213 0.5000  6 Ti 3.02-3.05, 2 Tl 3.11, 2 Pb 3.23
Pb 0.0000 0.0000 0.5000  2 Pb 3.11, 4 Tl 3.23
Pb 0.5000 0.5000 0.5000  2 Pb 3.11, 4 Tl 3.23

---

[5]
VASP calculation (PBE-GGA) on LaThInSn after structural relaxation.

M_tot = 0.00 μB per formula unit
theoretical density = 8.38 g/cm³
raw total energy = -20.704 eV per formula unit
calculated volume = 29.945 A^3/atom

a b c (Å): 5.5331 5.5331 5.5331
angles (deg): 60.00 60.00 60.00
With the nearest neighbours (Å) after each atom.
Element x y z (fractional)
La 0.0000 0.0000 0.0000  4 In 3.39, 4 Sn 3.39
Th 0.5000 0.5000 0.5000  4 In 3.39, 4 Sn 3.39
In 0.7500 0.7500 0.7500  4 Th 3.39, 4 La 3.39
Sn 0.2500 0.2500 0.2500  4 La 3.39, 4 Th 3.39

---

[6]
VASP calculation (PBE-GGA) on TaRh2Cl after structural relaxation.

M_tot = 0.00 μB per formula unit
theoretical density = 10.17 g/cm³
raw total energy = -29.459 eV per formula unit
calculated volume = 17.236 A^3/atom
formation energy without anion corrections = -264 meV/atom

a b c (Å): 3.2064 3.2064 6.7059
angles (deg): 90.00 90.00 90.00
With the nearest neighbours (Å) after each atom.
Element x y z (fractional)
Ta 0.0000 0.0000 0.0000  8 Rh 2.66
Rh 0.5000 0.5000 0.2073  4 Ta 2.66, 1 Rh 2.78
Rh 0.5000 0.5000 0.7927  4 Ta 2.66, 1 Rh 2.78
Cl 0.0000 0.0000 0.5000  8 Rh 3.00, 4 Cl 3.21, 2 Ta 3.35

---

[7]
VASP calculation (PBE-GGA) on Mg2Ag3 after structural relaxation.

M_tot = 0.00 μB per formula unit
theoretical density = 6.61 g/cm³
raw total energy = -12.277 eV per formula unit
calculated volume = 18.700 A^3/atom

a b c (Å): 7.7695 7.7695 7.7695
angles (deg): 157.35 148.77 38.92
With the nearest neighbours (Å) after each atom.
Element x y z (fractional)
Mg 0.1912 0.1912 0.0000  6 Ag 2.80-3.02, 6 Mg 3.05-3.11
Mg 0.8088 0.8088 0.0000  6 Ag 2.80-3.02, 6 Mg 3.05-3.11
Ag 0.0000 0.0000 0.0000  2 Mg 2.80, 10 Ag 3.00-3.05
Ag 0.3970 0.3970 0.0000  5 Mg 2.89-3.02, 7 Ag 3.00-3.05
Ag 0.6030 0.6030 0.0000  5 Mg 2.89-3.02, 7 Ag 3.00-3.05

---

[8]
VASP calculation (PBE-GGA) on Na7Sn3 after structural relaxation.

M_tot = 0.00 μB per formula unit
theoretical density = 2.70 g/cm³
raw total energy = -22.299 eV per formula unit
calculated volume = 31.774 A^3/atom

a b c (Å): 10.8400 10.8400 6.2448
angles (deg): 90.00 90.00 120.00
With the nearest neighbours (Å) after each atom.
Element x y z (fractional)
Na 0.0072 0.5036 0.0000  3 Na 3.13-3.43, 4 Sn 3.14
Na 0.1341 0.2683 0.7600  4 Sn 3.63-3.84, 9 Na 3.74-4.01
Na 0.1341 0.8659 0.7600  4 Sn 3.63-3.84, 9 Na 3.74-4.01
Na 0.2683 0.1341 0.2600  4 Sn 3.63-3.84, 9 Na 3.74-4.01
Na 0.3333 0.6667 0.7511  9 Na 3.43-3.74, 6 Sn 3.54-3.70
Na 0.4964 0.5036 0.0000  3 Na 3.13-3.43, 4 Sn 3.14
Na 0.4964 0.9928 0.0000  3 Na 3.13-3.43, 4 Sn 3.14
Na 0.5036 0.0072 0.5000  3 Na 3.13-3.43, 4 Sn 3.14
Na 0.5036 0.4964 0.5000  3 Na 3.13-3.43, 4 Sn 3.14
Na 0.6667 0.3333 0.2511  9 Na 3.43-3.74, 6 Sn 3.54-3.70
Na 0.7317 0.8659 0.7600  4 Sn 3.63-3.84, 9 Na 3.74-4.01
Na 0.8659 0.1341 0.2600  4 Sn 3.63-3.84, 9 Na 3.74-4.01
Na 0.8659 0.7317 0.2600  4 Sn 3.63-3.84, 9 Na 3.74-4.01
Na 0.9928 0.4964 0.5000  3 Na 3.13-3.43, 4 Sn 3.14
Sn 0.2355 0.4711 0.2656  4 Na 3.14, 2 Sn 3.18
Sn 0.2355 0.7645 0.2656  4 Na 3.14, 2 Sn 3.18
Sn 0.4711 0.2355 0.7656  4 Na 3.14, 2 Sn 3.18
Sn 0.5289 0.7645 0.2656  4 Na 3.14, 2 Sn 3.18
Sn 0.7645 0.2355 0.7656  4 Na 3.14, 2 Sn 3.18
Sn 0.7645 0.5289 0.7656  4 Na 3.14, 2 Sn 3.18

---

[9]
VASP calculation (PBE-GGA) on YMo2Se after structural relaxation.

M_tot = 0.00 μB per formula unit
theoretical density = 7.71 g/cm³
raw total energy = -30.417 eV per formula unit
calculated volume = 19.370 A^3/atom
formation energy without anion corrections = 298 meV/atom

a b c (Å): 3.5827 3.5827 6.0363
angles (deg): 90.00 90.00 90.00
With the nearest neighbours (Å) after each atom.
Element x y z (fractional)
Y 0.0000 0.0000 0.0000  2 Se 3.02, 8 Mo 3.12
Mo 0.5000 0.5000 0.3022  1 Mo 2.39
Mo 0.5000 0.5000 0.6978  1 Mo 2.39
Se 0.0000 0.0000 0.5000  8 Mo 2.80, 2 Y 3.02

---

[10]
VASP calculation (PBE-GGA) on KHPd after structural relaxation.

M_tot = 0.00 μB per formula unit
theoretical density = 4.22 g/cm³
raw total energy = -10.197 eV per formula unit
calculated volume = 19.239 A^3/atom

a b c (Å): 3.3535 5.7418 6.4077
angles (deg): 104.15 104.77 90.00
With the nearest neighbours (Å) after each atom.
Element x y z (fractional)
K 0.1073 0.3090 0.1999  3 H 2.74-3.02
K 0.8927 0.6910 0.8001  3 H 2.74-3.02
H 0.1323 0.8029 0.2575  2 Pd 1.75-1.76
H 0.8677 0.1971 0.7425  2 Pd 1.75-1.76
Pd 0.3299 0.1403 0.6638  2 H 1.75-1.76
Pd 0.6701 0.8597 0.3362  2 H 1.75-1.76

---

[11]
VASP calculation (PBE-GGA) on K6I2BrO after structural relaxation.

M_tot = 0.00 μB per formula unit
theoretical density = 2.21 g/cm³
raw total energy = -28.328 eV per formula unit
calculated volume = 43.806 A^3/atom
formation energy without anion corrections = -1201 meV/atom

a b c (Å): 16.2995 16.2995 16.2995
angles (deg): 28.58 28.58 28.58
With the nearest neighbours (Å) after each atom.
Element x y z (fractional)
K 0.1180 0.1180 0.6635  1 O 2.63
K 0.1180 0.6635 0.1180  1 O 2.63
K 0.2232 0.6878 0.6878  1 O 2.65
K 0.3122 0.3122 0.7768  1 O 2.65
K 0.3122 0.7768 0.3122  1 O 2.65
K 0.3365 0.8820 0.8820  1 O 2.63
K 0.6635 0.1180 0.1180  1 O 2.63
K 0.6878 0.2232 0.6878  1 O 2.65
K 0.6878 0.6878 0.2232  1 O 2.65
K 0.7768 0.3122 0.3122  1 O 2.65
K 0.8820 0.3365 0.8820  1 O 2.63
K 0.8820 0.8820 0.3365  1 O 2.63
I 0.1905 0.1905 0.1905  9 K 3.64-4.05
I 0.3559 0.3559 0.3559  9 K 3.65-4.06
I 0.6441 0.6441 0.6441  9 K 3.65-4.06
I 0.8095 0.8095 0.8095  9 K 3.64-4.05
Br 0.0879 0.0879 0.0879  6 K 3.29-3.31
Br 0.9121 0.9121 0.9121  6 K 3.29-3.31
O 0.0000 0.0000 0.0000  6 K 2.63
O 0.5000 0.5000 0.5000  6 K 2.65